Here is a crystal of K6Na4Tl13 relaxed with PBEsol from Alexandria via LeMat-Bulk. Energies are from meta-GGA SCAN.

Output
As for the density of states at the Fermi level: 0.690 states/eV per atom. For the energy, the calculation gives -44.0408 eV per atom. As for the formation energy: -237 meV per atom.

Unit cell a=11.4083 b=11.4083 c=11.4083 alpha=90.00 beta=90.00 gamma=90.00
Space group Im-3 (No. 204)
Unique sites:
K 0.0000 0.3285 0.5000 [12 per cell]
Na 0.2500 0.2500 0.2500 [8 per cell]
Tl 0.0000 0.0000 0.0000 [2 per cell]
Tl 0.0000 0.1424 0.2428 [24 per cell]